Record 1
VASP calculation (PBE-GGA) on crystalline TbYTm2 at its relaxed geometry.

a b c (Å): 4.994 4.994 4.981
angles (deg): 90.00 90.00 90.00
Space group P4/mmm (No. 123)
Inequivalent atoms, fractional coordinates:
Tb  0.000  0.000  0.000 (multiplicity 1)
Y  0.500  0.500  0.000 (multiplicity 1)
Tm  0.000  0.500  0.500 (multiplicity 2)

Summary:
* formation enthalpy at 0 K: 0.03 eV/atom
* energy relative to the lowest polymorph listed for this composition: 2.3 kJ/mol of atoms

***

Record 2
VASP calculation (PBE-GGA) on crystalline Tb3Y5Tm4 at its relaxed geometry.

a b c (Å): 6.129 7.087 8.667
angles (deg): 90.00 90.05 90.09
Space group P-1 (No. 2)
Inequivalent atoms, fractional coordinates:
Tb  0.000  0.000  0.000 (multiplicity 1)
Tb  0.166  0.748  0.666 (multiplicity 2)
Y  0.000  0.500  0.000 (multiplicity 1)
Y  0.332  0.000  0.335 (multiplicity 2)
Y  0.499  0.251  0.000 (multiplicity 2)
Tm  0.167  0.251  0.666 (multiplicity 2)
Tm  0.334  0.500  0.336 (multiplicity 2)

Summary:
* formation enthalpy at 0 K: 0.02 eV/atom
* energy relative to the lowest polymorph listed for this composition: 0.0 kJ/mol of atoms

***

Record 3
VASP calculation (PBE-GGA) on crystalline Tb3Y2Tm2 at its relaxed geometry.

a b c (Å): 23.400 5.438 3.540
angles (deg): 90.00 98.68 90.00
Space group C2/m (No. 12)
Inequivalent atoms, fractional coordinates:
Tb  0.000  0.000  0.000 (multiplicity 2)
Tb  0.225  0.500  0.225 (multiplicity 4)
Y  0.080  0.500  0.581 (multiplicity 4)
Tm  0.142  0.000  0.144 (multiplicity 4)

Summary:
* formation enthalpy at 0 K: 0.04 eV/atom
* energy relative to the lowest polymorph listed for this composition: 2.0 kJ/mol of atoms

***

Record 4
VASP calculation (PBE-GGA) on crystalline TbY2Tm9 at its relaxed geometry.

a b c (Å): 4.961 4.961 14.883
angles (deg): 90.00 90.00 90.00
Space group P4/mmm (No. 123)
Inequivalent atoms, fractional coordinates:
Tb  0.000  0.000  0.000 (multiplicity 1)
Y  0.000  0.000  0.333 (multiplicity 2)
Tm  0.000  0.500  0.166 (multiplicity 4)
Tm  0.000  0.500  0.500 (multiplicity 2)
Tm  0.500  0.500  0.000 (multiplicity 1)
Tm  0.500  0.500  0.333 (multiplicity 2)

Summary:
* formation enthalpy at 0 K: 0.03 eV/atom
* energy relative to the lowest polymorph listed for this composition: 0.0 kJ/mol of atoms

***

Record 5
VASP calculation (PBE-GGA) on crystalline Tb5Y4Tm3 at its relaxed geometry.

a b c (Å): 16.099 5.856 9.269
angles (deg): 90.00 117.10 90.00
Space group C2/m (No. 12)
Inequivalent atoms, fractional coordinates:
Tb  0.000  0.000  0.000 (multiplicity 2)
Tb  0.075  0.500  0.702 (multiplicity 4)
Tb  0.173  0.500  0.384 (multiplicity 4)
Y  0.080  0.000  0.437 (multiplicity 4)
Y  0.215  0.000  0.878 (multiplicity 4)
Tm  0.000  0.500  0.000 (multiplicity 2)
Tm  0.210  0.000  0.232 (multiplicity 4)

Summary:
* formation enthalpy at 0 K: 0.24 eV/atom

***

Record 6
VASP calculation (PBE-GGA) on crystalline TbYTm at its relaxed geometry.

a b c (Å): 7.916 10.007 5.005
angles (deg): 90.00 108.35 90.00
Space group P2_1/c (No. 14)
Inequivalent atoms, fractional coordinates:
Tb  0.170  0.125  0.085 (multiplicity 4)
Y  0.168  0.625  0.084 (multiplicity 4)
Tm  0.499  0.125  0.750 (multiplicity 4)

Summary:
* formation enthalpy at 0 K: 0.02 eV/atom
* energy relative to the lowest polymorph listed for this composition: 0.0 kJ/mol of atoms

***

Calculated E_tot in order - -0.366; -0.391; -0.372; -0.352; -0.365; -0.380 Ry per atom